No. 1
## Al2ZnRu2 (PBE-GGA)

Data for a relaxed Al2ZnRu2 crystal.

Lattice parameters (Å, degrees): 6.7472 6.7472 3.2320 90.00 90.00 90.00
Positions (direct):
Ru (0.3477, 0.8477, 0.0000)
Ru (0.8477, 0.6523, 0.0000)
Ru (0.6523, 0.1523, 0.0000)
Ru (0.1523, 0.3477, 0.0000)
Zn (0.0000, 0.0000, 0.0000)
Zn (0.5000, 0.5000, 0.0000)
Al (0.1457, 0.6457, 0.5000)
Al (0.6457, 0.8543, 0.5000)
Al (0.8543, 0.3543, 0.5000)
Al (0.3543, 0.1457, 0.5000)

Computed properties:
relative energy among the computed polymorphs = 0.0 meV per atom
density = 7.26 g/cm3


No. 2
## Al3ZnRu (PBE-GGA)

Data for a relaxed Al3ZnRu crystal.

Lattice parameters (Å, degrees): 4.7235 4.7235 4.7235 90.00 90.00 90.00
Positions (direct):
Ru (0.0000, 0.0000, 0.0000)
Zn (0.5000, 0.5000, 0.5000)
Al (0.0000, 0.5000, 0.0000)
Al (0.0000, 0.0000, 0.5000)
Al (0.5000, 0.0000, 0.0000)

Computed properties:
relative energy among the computed polymorphs = 0.0 meV per atom
density = 3.90 g/cm3


No. 3
## AlZnRu (PBE-GGA)

Data for a relaxed AlZnRu crystal.

Lattice parameters (Å, degrees): 4.1488 4.1488 4.1488 60.00 60.00 60.00
Positions (direct):
Ru (0.7500, 0.7500, 0.7500)
Zn (0.0000, 0.0000, 0.0000)
Al (0.5000, 0.5000, 0.5000)

Computed properties:
total energy = -4.768 eV/atom
density = 6.36 g/cm3